First-principles (PBE-GGA) data for a relaxed structure of PrH3Rh2, as listed in the Alexandria database.

The structure belongs to space group Cmcm (No. 63); the cell edges are 6.951, 8.347 and 5.460 Å and the angles 90.00°, 90.00° and 90.00°. Symmetry generates all atoms from Pr at (0.000, 0.202, 0.250), H at (0.000, 0.482, 0.750), H at (0.164, 0.070, 0.750) and Rh at (0.199, 0.500, 0.000).

For the total energy, the calculation gives -125.9 eV/cell. The calculation puts the magnetization at 0.00 μB per atom.